{"formula": "RbNdTl", "functional": "PBE", "state": "relaxed", "total_magnetization_mub_per_fu": 0.27, "e_tot_ev_per_atom": -2.800, "formation_energy_ev_per_atom": -0.099, "cell": [[-2.062, 2.062, 15.295], [2.062, -2.062, 15.295], [2.062, 2.062, -15.295]], "species": ["Rb", "Rb", "Nd", "Nd", "Tl", "Tl"], "fractional_positions": [[0.077, 0.077, 0.000], [0.923, 0.923, 0.000], [0.213, 0.213, 0.000], [0.787, 0.787, 0.000], [0.339, 0.339, 0.000], [0.661, 0.661, 0.000]]}